(1)
Here is a relaxed Al2SbRh crystal from Alexandria. Energies are from GGA-PBE.

Values from the calculation:
Calculated volume, Å³ per cell: 70.1
Total magnetization, μB/f.u.: 0.0
Total energy, eV/atom: -4.8081

Cell lengths 3.827, 4.279, 4.279 Å; angles 90.00, 90.00, 90.00 degrees
Fractional coordinates of all 4 atoms:
Rh (0.500, 0.500, 0.000)
Al (0.000, 0.500, 0.500)
Al (0.000, 0.000, 0.000)
Sb (0.500, 0.000, 0.500)

(2)
Here is a relaxed Tl2CdBi crystal from Alexandria. Energies are from GGA-PBE.

Values from the calculation:
Calculated volume, Å³ per cell: 123.7
Energy relative to the elements, eV/atom: 0.0947
Total magnetization, μB/f.u.: 0.0
Energy relative to the lowest polymorph listed for this composition, meV/atom: 81

Cell lengths 7.214, 7.214, 7.214 Å; angles 53.34, 151.60, 135.84 degrees
Fractional coordinates of all 4 atoms:
Tl (0.000, 0.248, 0.248)
Tl (0.000, 0.752, 0.752)
Bi (0.000, 0.500, 0.500)
Cd (0.000, 0.000, 0.000)

(3)
Here is a relaxed Bi2Pd2Pb crystal from Alexandria. Energies are from GGA-PBE.

Values from the calculation:
Calculated volume, Å³ per cell: 128.6
Energy relative to the elements, eV/atom: -0.0892
Total magnetization, μB/f.u.: 0.0
Energy relative to the lowest polymorph listed for this composition, meV/atom: 128

Cell lengths 3.966, 3.966, 8.645 Å; angles 76.74, 76.74, 90.00 degrees
Fractional coordinates of all 5 atoms:
Bi (0.373, 0.373, 0.254)
Bi (0.627, 0.627, 0.746)
Pb (0.000, 0.000, 0.000)
Pd (0.750, 0.250, 0.500)
Pd (0.250, 0.750, 0.500)